## CoBPd2Au (PBE)

Data for an optimized crystal structure of CoBPd2Au.

Results
**ΔH_f (0 K)**: 0.302 eV/atom
**Space-group type**: No. 123
**Fermi-level density of states**: 6.6 states/eV/cell

a = 4.1395 Å, b = 4.3090 Å, c = 4.1395 Å
α = 90.00°, β = 90.00°, γ = 90.00°
Element x y z (fractional)
1 B 0.0000 0.0000 0.0000
2 Pd 0.5000 0.0000 0.0000
3 Pd 0.0000 0.0000 0.5000
4 Au 0.0000 0.5000 0.0000
5 Co 0.5000 0.5000 0.5000


## Co2ReBAu (PBE)

Data for an optimized crystal structure of Co2ReBAu.

Results
**ΔH_f (0 K)**: 0.725 eV/atom
**Space-group type**: No. 123
**Fermi-level density of states**: 12.9 states/eV/cell

a = 3.9306 Å, b = 4.1365 Å, c = 3.9306 Å
α = 90.00°, β = 90.00°, γ = 90.00°
Element x y z (fractional)
1 Co 0.0000 0.0000 0.5000
2 Co 0.5000 0.0000 0.0000
3 Au 0.0000 0.5000 0.0000
4 Re 0.5000 0.5000 0.5000
5 B 0.0000 0.0000 0.0000


## CoBRhAu2 (PBE)

Data for an optimized crystal structure of CoBRhAu2.

Results
**ΔH_f (0 K)**: 0.464 eV/atom
**Space-group type**: No. 123
**Excess energy over the best structure of this formula in the dataset**: 0.0 meV/atom
**Fermi-level density of states**: 5.3 states/eV/cell

a = 4.3155 Å, b = 3.8549 Å, c = 4.3155 Å
α = 90.00°, β = 90.00°, γ = 90.00°
Element x y z (fractional)
1 Co 0.0000 0.5000 0.0000
2 Au 0.5000 0.0000 0.0000
3 Au 0.0000 0.0000 0.5000
4 Rh 0.5000 0.5000 0.5000
5 B 0.0000 0.0000 0.0000


## CoBRhAu2 (PBE)

Data for an optimized crystal structure of CoBRhAu2.

Results
**ΔH_f (0 K)**: 0.998 eV/atom
**Space-group type**: No. 123
**Excess energy over the best structure of this formula in the dataset**: 534.0 meV/atom
**Fermi-level density of states**: 4.4 states/eV/cell

a = 4.7800 Å, b = 3.5944 Å, c = 4.7800 Å
α = 90.00°, β = 90.00°, γ = 90.00°
Element x y z (fractional)
1 Rh 0.5000 0.5000 0.5000
2 Au 0.0000 0.0000 0.5000
3 Au 0.5000 0.0000 0.0000
4 B 0.0000 0.5000 0.0000
5 Co 0.0000 0.0000 0.0000


## TlCoBAu2 (PBE)

Data for an optimized crystal structure of TlCoBAu2.

Results
**ΔH_f (0 K)**: 0.790 eV/atom
**Space-group type**: No. 123
**Fermi-level density of states**: 5.5 states/eV/cell

a = 4.2858 Å, b = 5.0205 Å, c = 4.2858 Å
α = 90.00°, β = 90.00°, γ = 90.00°
Element x y z (fractional)
1 B 0.0000 0.0000 0.0000
2 Au 0.5000 0.0000 0.0000
3 Au 0.0000 0.0000 0.5000
4 Tl 0.0000 0.5000 0.0000
5 Co 0.5000 0.5000 0.5000


## CrB2Au (PBE)

Data for an optimized crystal structure of CrB2Au.

Results
**ΔH_f (0 K)**: 0.978 eV/atom
**Space-group type**: No. 122
**Excess energy over the best structure of this formula in the dataset**: 142.3 meV/atom
**Fermi-level density of states**: 5.6 states/eV/cell

a = 4.9171 Å, b = 4.9171 Å, c = 5.7027 Å
α = 64.46°, β = 64.46°, γ = 90.00°
Element x y z (fractional)
1 Au 0.0000 0.0000 0.0000
2 Au 0.7500 0.2500 0.5000
3 Cr 0.2500 0.7500 0.5000
4 Cr 0.5000 0.5000 0.0000
5 B 0.8750 0.8507 0.7500
6 B 0.3750 0.3993 0.7500
7 B 0.1493 0.6250 0.2500
8 B 0.6007 0.1250 0.2500


## Cr2BAu (PBE)

Data for an optimized crystal structure of Cr2BAu.

Results
**ΔH_f (0 K)**: 0.848 eV/atom
**Space-group type**: No. 122
**Fermi-level density of states**: 4.0 states/eV/cell

a = 3.4926 Å, b = 3.4926 Å, c = 8.8151 Å
α = 78.57°, β = 78.57°, γ = 90.00°
Element x y z (fractional)
1 Cr 0.3750 0.4478 0.7500
2 Cr 0.5522 0.1250 0.2500
3 Cr 0.1978 0.6250 0.2500
4 Cr 0.8750 0.8022 0.7500
5 B 0.5000 0.5000 0.0000
6 B 0.2500 0.7500 0.5000
7 Au 0.0000 0.0000 0.0000
8 Au 0.7500 0.2500 0.5000


## CrBAu2 (PBE)

Data for an optimized crystal structure of CrBAu2.

Results
**ΔH_f (0 K)**: 1.145 eV/atom
**Space-group type**: No. 122
**Fermi-level density of states**: 8.4 states/eV/cell

a = 4.6260 Å, b = 4.6260 Å, c = 7.3496 Å
α = 71.66°, β = 71.66°, γ = 90.00°
Element x y z (fractional)
1 Au 0.8750 0.8034 0.7500
2 Au 0.3750 0.4466 0.7500
3 Au 0.1966 0.6250 0.2500
4 Au 0.5534 0.1250 0.2500
5 Cr 0.7500 0.2500 0.5000
6 Cr 0.0000 0.0000 0.0000
7 B 0.5000 0.5000 0.0000
8 B 0.2500 0.7500 0.5000


## CrB2Au (PBE)

Data for an optimized crystal structure of CrB2Au.

Results
**ΔH_f (0 K)**: 0.835 eV/atom
**Space-group type**: No. 225
**Excess energy over the best structure of this formula in the dataset**: 0.0 meV/atom
**Fermi-level density of states**: 2.4 states/eV/cell

a = 3.8687 Å, b = 3.8687 Å, c = 3.8687 Å
α = 60.00°, β = 60.00°, γ = 60.00°
Element x y z (fractional)
1 B 0.7500 0.7500 0.7500
2 B 0.2500 0.2500 0.2500
3 Cr 0.0000 0.0000 0.0000
4 Au 0.5000 0.5000 0.5000


## Cr2FeBAu (PBE)

Data for an optimized crystal structure of Cr2FeBAu.

Results
**ΔH_f (0 K)**: 0.250 eV/atom
**Space-group type**: No. 123
**Fermi-level density of states**: 5.8 states/eV/cell

a = 4.0240 Å, b = 3.8554 Å, c = 4.0240 Å
α = 90.00°, β = 90.00°, γ = 90.00°
Element x y z (fractional)
1 Cr 0.0000 0.0000 0.5000
2 Cr 0.5000 0.0000 0.0000
3 Au 0.5000 0.5000 0.5000
4 B 0.0000 0.0000 0.0000
5 Fe 0.0000 0.5000 0.0000


## KCrBAu2 (PBE)

Data for an optimized crystal structure of KCrBAu2.

Results
**ΔH_f (0 K)**: 0.719 eV/atom
**Space-group type**: No. 123
**Fermi-level density of states**: 2.2 states/eV/cell

a = 4.4070 Å, b = 4.4070 Å, c = 5.3385 Å
α = 90.00°, β = 90.00°, γ = 90.00°
Element x y z (fractional)
1 Cr 0.5000 0.5000 0.5000
2 B 0.0000 0.0000 0.0000
3 K 0.0000 0.0000 0.5000
4 Au 0.5000 0.0000 0.0000
5 Au 0.0000 0.5000 0.0000


## CrBAu2N (PBE)

Data for an optimized crystal structure of CrBAu2N.

Results
**Space-group type**: No. 123
**Fermi-level density of states**: 2.3 states/eV/cell
**Calculated total energy**: -29.26 eV/cell

a = 5.4108 Å, b = 2.6976 Å, c = 5.4108 Å
α = 90.00°, β = 90.00°, γ = 90.00°
Element x y z (fractional)
1 Cr 0.5000 0.5000 0.5000
2 Au 0.0000 0.0000 0.5000
3 Au 0.5000 0.0000 0.0000
4 N 0.0000 0.5000 0.0000
5 B 0.0000 0.0000 0.0000


- Which formula does entry 7 have?
  Cr2BAu


- Among the records above, which one has the highest Fermi-level density of states?
  Co2ReBAu